(1)
Below is an optimized crystal structure of K2IO3, with properties calculated at the PBE-GGA level.

Properties
**Calculated volume**: 23.2 A^3/atom
**Raw total energy**: -3.9162 eV/atom
**Density of states at the Fermi level**: 0.74 states/eV/cell

Unit cell a=9.8274 b=9.6275 c=5.6204 alpha=75.17 beta=71.27 gamma=33.56
Closest atoms and distances in Å follow each position.
Atoms (fractional coordinates):
K 0.1669 0.8331 0.1669  1 K 2.81, 4 O 2.84
K 0.2500 0.2500 0.2500  4 O 2.89
K 0.7500 0.7500 0.7500  4 O 2.89
K 0.8331 0.1669 0.8331  1 K 2.81, 4 O 2.84
I 0.3935 0.3935 0.6065  3 O 1.89-1.98
I 0.6065 0.6065 0.3935  3 O 1.89-1.98
O 0.1370 0.6675 0.8630  1 I 1.98
O 0.2872 0.2872 0.7128  1 I 1.89
O 0.3325 0.8630 0.6675  1 I 1.98
O 0.6675 0.1370 0.3325  1 I 1.98
O 0.7128 0.7128 0.2872  1 I 1.89
O 0.8630 0.3325 0.1370  1 I 1.98

(2)
Below is an optimized crystal structure of K7I3O2, with properties calculated at the PBE-GGA level.

Properties
**Calculated volume**: 34.2 A^3/atom
**Raw total energy**: -3.1326 eV/atom

Unit cell a=14.6007 b=14.6007 c=5.2859 alpha=90.00 beta=90.00 gamma=158.66
Closest atoms and distances in Å follow each position.
Atoms (fractional coordinates):
K 0.0000 0.0000 0.0000  2 O 2.72
K 0.0943 0.9057 0.5000  2 O 2.64
K 0.1840 0.8160 0.0000  1 O 2.56
K 0.4060 0.5940 0.0000  2 O 2.70
K 0.5940 0.4060 0.0000  2 O 2.70
K 0.8160 0.1840 0.0000  1 O 2.56
K 0.9057 0.0943 0.5000  2 O 2.64
I 0.3153 0.6847 0.5000  8 K 3.71-3.78
I 0.5000 0.5000 0.5000  12 K 3.78-3.82
I 0.6847 0.3153 0.5000  8 K 3.71-3.78
O 0.0948 0.9052 0.0000  6 K 2.56-2.72
O 0.9052 0.0948 0.0000  6 K 2.56-2.72

(3)
Below is an optimized crystal structure of K9I3O2, with properties calculated at the PBE-GGA level.

Properties
**Calculated volume**: 38.2 A^3/atom
**Raw total energy**: -2.8058 eV/atom
**Density of states at the Fermi level**: 0.49 states/eV/cell

Unit cell a=7.8923 b=7.8923 c=9.9173 alpha=90.00 beta=90.00 gamma=120.00
Closest atoms and distances in Å follow each position.
Atoms (fractional coordinates):
K 0.0000 0.5000 0.0000  2 O 2.78
K 0.1774 0.3547 0.6899  1 O 2.59
K 0.1774 0.8226 0.6899  1 O 2.59
K 0.3547 0.1774 0.3101  1 O 2.59
K 0.5000 0.0000 0.0000  2 O 2.78
K 0.5000 0.5000 0.0000  2 O 2.78
K 0.6453 0.8226 0.6899  1 O 2.59
K 0.8226 0.1774 0.3101  1 O 2.59
K 0.8226 0.6453 0.3101  1 O 2.59
I 0.0000 0.0000 0.0000  12 K 3.92-3.95
I 0.3333 0.6667 0.3037  9 K 3.78-3.95
I 0.6667 0.3333 0.6963  9 K 3.78-3.95
O 0.3333 0.6667 0.8389  6 K 2.59-2.78
O 0.6667 0.3333 0.1611  6 K 2.59-2.78

(4)
Below is an optimized crystal structure of KI2O8, with properties calculated at the PBE-GGA level.

Properties
**Calculated volume**: 19.1 A^3/atom
**Raw total energy**: -4.3940 eV/atom
**Density of states at the Fermi level**: 2.93 states/eV/cell

Unit cell a=4.0626 b=6.3195 c=8.7781 alpha=82.68 beta=77.36 gamma=73.25
Closest atoms and distances in Å follow each position.
Atoms (fractional coordinates):
K 0.0000 0.0000 0.0000  4 O 2.68-2.72
I 0.4476 0.7561 0.3946  3 O 1.82-1.91
I 0.5524 0.2439 0.6054  3 O 1.82-1.91
O 0.1501 0.1881 0.5566  1 I 1.91
O 0.3436 0.5084 0.0261  1 O 1.23
O 0.3919 0.5316 0.6584  1 I 1.83
O 0.4603 0.8928 0.1993  1 I 1.82
O 0.5397 0.1072 0.8007  1 I 1.82
O 0.6081 0.4684 0.3416  1 I 1.83
O 0.6564 0.4916 0.9739  1 O 1.23
O 0.8499 0.8119 0.4434  1 I 1.91

(5)
Below is an optimized crystal structure of K4IO5, with properties calculated at the PBE-GGA level.

Properties
**Calculated volume**: 19.1 A^3/atom
**Raw total energy**: -4.2470 eV/atom
**Density of states at the Fermi level**: 2.38 states/eV/cell

Unit cell a=6.4800 b=6.4800 c=6.4800 alpha=100.73 beta=100.73 gamma=128.87
Closest atoms and distances in Å follow each position.
Atoms (fractional coordinates):
K 0.1008 0.7055 0.8063  5 O 2.69-2.88
K 0.2945 0.1008 0.3952  5 O 2.69-2.88
K 0.7055 0.8992 0.6048  5 O 2.69-2.88
K 0.8992 0.2945 0.1937  5 O 2.69-2.88
I 0.4793 0.4793 0.0000  5 O 1.87-1.99
O 0.1457 0.1457 0.0000  1 I 1.87
O 0.2752 0.4330 0.6997  1 I 1.99
O 0.4330 0.7333 0.1577  1 I 1.99
O 0.5755 0.2752 0.8423  1 I 1.99
O 0.7333 0.5755 0.3003  1 I 1.99

(6)
Below is an optimized crystal structure of K8I2O3, with properties calculated at the PBE-GGA level.

Properties
**Calculated volume**: 36.1 A^3/atom
**Raw total energy**: -3.2344 eV/atom

Unit cell a=9.3404 b=9.3404 c=7.0953 alpha=106.88 beta=106.88 gamma=53.31
Closest atoms and distances in Å follow each position.
Atoms (fractional coordinates):
K 0.0823 0.0823 0.3941  3 O 2.69-2.79
K 0.1244 0.7025 0.1244  2 O 2.61-2.62
K 0.2975 0.8756 0.8756  2 O 2.61-2.62
K 0.4031 0.4031 0.5162  2 O 2.62
K 0.5969 0.5969 0.4838  2 O 2.62
K 0.7025 0.1244 0.1244  2 O 2.61-2.62
K 0.8756 0.2975 0.8756  2 O 2.61-2.62
K 0.9177 0.9177 0.6059  3 O 2.69-2.79
I 0.2742 0.2742 0.8295  6 K 3.53-3.70
I 0.7258 0.7258 0.1705  6 K 3.53-3.70
O 0.0000 0.0000 0.0000  6 K 2.61-2.69
O 0.2577 0.7423 0.5000  6 K 2.62-2.79
O 0.7423 0.2577 0.5000  6 K 2.62-2.79

(7)
Below is an optimized crystal structure of K2IO5, with properties calculated at the PBE-GGA level.

Properties
**Calculated volume**: 16.6 A^3/atom
**Relative energy among the computed polymorphs**: 0.000 eV per atom
**Raw total energy**: -4.4036 eV/atom
**Density of states at the Fermi level**: 4.13 states/eV/cell

Unit cell a=7.3217 b=7.3217 c=7.5629 alpha=119.06 beta=119.06 gamma=51.16
Closest atoms and distances in Å follow each position.
Atoms (fractional coordinates):
K 0.9997 0.0003 0.0000  5 O 2.67-2.84
K 0.0003 0.9997 0.5000  5 O 2.67-2.84
K 0.6675 0.6725 0.5699  5 O 2.67-2.85
K 0.6725 0.6675 0.0699  5 O 2.67-2.85
I 0.3351 0.3345 0.0341  6 O 1.85-2.03
I 0.3345 0.3351 0.5341  6 O 1.85-2.03
O 0.0144 0.5422 0.9154  1 I 1.85
O 0.0797 0.2753 0.4110  1 I 1.87
O 0.1262 0.6558 0.6524  1 I 1.85
O 0.2170 0.4526 0.2840  2 I 2.03
O 0.2753 0.0797 0.9110  1 I 1.87
O 0.3957 0.5887 0.1575  1 I 1.86
O 0.4526 0.2170 0.7840  2 I 2.03
O 0.5422 0.0144 0.4154  1 I 1.85
O 0.5887 0.3957 0.6575  1 I 1.86
O 0.6558 0.1262 0.1524  1 I 1.85

(8)
Below is an optimized crystal structure of K5I2O2, with properties calculated at the PBE-GGA level.

Properties
**Calculated volume**: 33.9 A^3/atom
**Raw total energy**: -3.2430 eV/atom
**Density of states at the Fermi level**: 1.12 states/eV/cell

Unit cell a=5.3320 b=5.3320 c=10.7241 alpha=90.00 beta=90.00 gamma=90.00
Closest atoms and distances in Å follow each position.
Atoms (fractional coordinates):
K 0.0000 0.0000 0.0000  2 O 2.44
K 0.0000 0.5000 0.2707  2 O 2.71
K 0.0000 0.5000 0.7293  2 O 2.71
K 0.5000 0.0000 0.2707  2 O 2.71
K 0.5000 0.0000 0.7293  2 O 2.71
I 0.5000 0.5000 0.0000  12 K 3.77-3.94
I 0.5000 0.5000 0.5000  8 K 3.63
O 0.0000 0.0000 0.2274  5 K 2.44-2.71
O 0.0000 0.0000 0.7726  5 K 2.44-2.71

(9)
Below is an optimized crystal structure of K2IO5, with properties calculated at the PBE-GGA level.

Properties
**Calculated volume**: 21.2 A^3/atom
**Relative energy among the computed polymorphs**: 0.038 eV per atom
**Raw total energy**: -4.3658 eV/atom

Unit cell a=6.1393 b=6.1393 c=6.1393 alpha=117.40 beta=117.40 gamma=94.56
Closest atoms and distances in Å follow each position.
Atoms (fractional coordinates):
K 0.0000 0.5000 0.5000  6 O 2.88-3.19
K 0.5000 0.0000 0.5000  6 O 2.88-3.19
I 0.2635 0.2635 0.0000  5 O 1.79-1.86
O 0.0072 0.0072 0.6001  1 I 1.86
O 0.0072 0.4071 0.0000  1 I 1.86
O 0.4071 0.0072 0.0000  1 I 1.86
O 0.4071 0.4071 0.3999  1 I 1.86
O 0.4790 0.4790 0.0000  1 I 1.79

(10)
Below is an optimized crystal structure of K6I2O, with properties calculated at the PBE-GGA level.

Properties
**Calculated volume**: 41.9 A^3/atom
**Relative energy among the computed polymorphs**: 0.004 eV per atom
**Raw total energy**: -2.5813 eV/atom
**Density of states at the Fermi level**: 0.59 states/eV/cell

Unit cell a=8.1080 b=8.1080 c=8.1080 alpha=60.00 beta=60.00 gamma=60.00
Closest atoms and distances in Å follow each position.
Atoms (fractional coordinates):
K 0.2317 0.2317 0.7683  1 O 2.66
K 0.2317 0.7683 0.2317  1 O 2.66
K 0.2317 0.7683 0.7683  1 O 2.66
K 0.7683 0.2317 0.2317  1 O 2.66
K 0.7683 0.2317 0.7683  1 O 2.66
K 0.7683 0.7683 0.2317  1 O 2.66
I 0.2500 0.2500 0.2500  12 K 4.06
I 0.7500 0.7500 0.7500  12 K 4.06
O 0.0000 0.0000 0.0000  6 K 2.66

(11)
Below is an optimized crystal structure of K5I2O, with properties calculated at the PBE-GGA level.

Properties
**Calculated volume**: 48.8 A^3/atom
**Relative energy among the computed polymorphs**: 0.013 eV per atom
**Raw total energy**: -2.7603 eV/atom
**Density of states at the Fermi level**: 4.04 states/eV/cell

Unit cell a=8.4260 b=8.4260 c=15.7664 alpha=90.00 beta=90.00 gamma=135.73
Closest atoms and distances in Å follow each position.
Atoms (fractional coordinates):
K 0.0596 0.9404 0.6376  1 O 2.59
K 0.0596 0.9404 0.8624  1 O 2.59
K 0.2933 0.7067 0.6300  1 O 2.59
K 0.2933 0.7067 0.8700  1 O 2.59
K 0.3076 0.6924 0.2500  2 O 3.18
K 0.6924 0.3076 0.7500  2 O 3.18
K 0.7067 0.2933 0.1300  1 O 2.59
K 0.7067 0.2933 0.3700  1 O 2.59
K 0.9404 0.0596 0.1376  1 O 2.59
K 0.9404 0.0596 0.3624  1 O 2.59
I 0.1568 0.8432 0.0649  6 K 3.43-3.75
I 0.1568 0.8432 0.4351  6 K 3.43-3.75
I 0.8432 0.1568 0.5649  6 K 3.43-3.75
I 0.8432 0.1568 0.9351  6 K 3.43-3.75
O 0.1802 0.8198 0.7500  4 K 2.59
O 0.8198 0.1802 0.2500  4 K 2.59

(12)
Below is an optimized crystal structure of K5I2O, with properties calculated at the PBE-GGA level.

Properties
**Calculated volume**: 41.8 A^3/atom
**Relative energy among the computed polymorphs**: 0.000 eV per atom
**Raw total energy**: -2.7737 eV/atom
**Density of states at the Fermi level**: 7.59 states/eV/cell

Unit cell a=10.8497 b=7.8741 c=15.6713 alpha=90.00 beta=90.00 gamma=90.00
Closest atoms and distances in Å follow each position.
Atoms (fractional coordinates):
K 0.0000 0.0000 0.0000  2 O 2.79
K 0.0000 0.5000 0.0000  2 O 2.79
K 0.0657 0.2500 0.2054  1 O 2.64
K 0.1834 0.5174 0.6088  1 O 2.62
K 0.1834 0.9826 0.6088  1 O 2.62
K 0.2342 0.7500 0.4000  1 O 2.62
K 0.2658 0.2500 0.9000  1 O 2.62
K 0.3166 0.0174 0.1088  1 O 2.62
K 0.3166 0.4826 0.1088  1 O 2.62
K 0.4343 0.7500 0.7054  1 O 2.64
K 0.5000 0.0000 0.5000  2 O 2.79
K 0.5000 0.5000 0.5000  2 O 2.79
K 0.5657 0.2500 0.2946  1 O 2.64
K 0.6834 0.5174 0.8912  1 O 2.62
K 0.6834 0.9826 0.8912  1 O 2.62
K 0.7342 0.7500 0.1000  1 O 2.62
K 0.7658 0.2500 0.6000  1 O 2.62
K 0.8166 0.0174 0.3912  1 O 2.62
K 0.8166 0.4826 0.3912  1 O 2.62
K 0.9343 0.7500 0.7946  1 O 2.64
I 0.0604 0.7500 0.1980  8 K 3.69-3.94
I 0.0982 0.2500 0.4395  5 K 3.51-3.69
I 0.4018 0.7500 0.9395  5 K 3.51-3.69
I 0.4396 0.2500 0.6980  8 K 3.69-3.94
I 0.5604 0.7500 0.3020  8 K 3.69-3.94
I 0.5982 0.2500 0.0605  5 K 3.51-3.69
I 0.9018 0.7500 0.5605  5 K 3.51-3.69
I 0.9396 0.2500 0.8020  8 K 3.69-3.94
O 0.1655 0.2500 0.0518  6 K 2.62-2.79
O 0.3345 0.7500 0.5518  6 K 2.62-2.79
O 0.6655 0.2500 0.4482  6 K 2.62-2.79
O 0.8345 0.7500 0.9482  6 K 2.62-2.79

Formation energy from raw total energies: -0.81, -1.28, -1.06, -0.41, -1.17, -1.18, -0.84, -1.19, -0.80, -0.95, -1.07, -1.08 (eV/atom)